PmGa5Cu after structural relaxation. Source: Alexandria via LeMat-Bulk, functional GGA-PBE.

Results
**ΔH_f (0 K)**: -0.336 eV per atom
**Energy**: -3.762 eV/atom
**Density of states at the Fermi level**: 2.92 states/eV/f.u.
**Magnetic moment**: 0.00 μB/f.u.

a b c (Å): 4.389 4.389 6.928
angles (deg): 90.00 90.00 90.00
Element x y z (fractional)
Pm  0.000  0.000  0.000
Ga  0.500  0.000  0.695
Ga  0.000  0.500  0.695
Ga  0.500  0.500  0.000
Ga  0.000  0.500  0.305
Ga  0.500  0.000  0.305
Cu  0.000  0.000  0.500

PmGa4Cu2 after structural relaxation. Source: Alexandria via LeMat-Bulk, functional GGA-PBE.

Results
**ΔH_f (0 K)**: -0.293 eV per atom
**Energy**: -3.872 eV/atom
**Density of states at the Fermi level**: 3.37 states/eV/f.u.
**Magnetic moment**: 0.00 μB/f.u.

a b c (Å): 4.018 7.844 7.844
angles (deg): 90.00 90.00 90.00
Element x y z (fractional)
Pm  0.500  0.000  0.000
Pm  0.000  0.500  0.500
Ga  0.000  0.673  0.916
Ga  0.000  0.916  0.673
Ga  0.500  0.827  0.416
Ga  0.000  0.084  0.327
Ga  0.500  0.173  0.584
Ga  0.000  0.327  0.084
Ga  0.500  0.416  0.827
Ga  0.500  0.584  0.173
Cu  0.500  0.290  0.290
Cu  0.000  0.210  0.790
Cu  0.000  0.790  0.210
Cu  0.500  0.710  0.710

PmGaCu after structural relaxation. Source: Alexandria via LeMat-Bulk, functional GGA-PBE.

Results
**ΔH_f (0 K)**: -0.234 eV per atom
**Energy**: -4.191 eV/atom
**Density of states at the Fermi level**: 2.26 states/eV/f.u.
**Magnetic moment**: 0.00 μB/f.u.

a b c (Å): 3.293 3.293 5.968
angles (deg): 106.01 106.01 90.00
Element x y z (fractional)
Pm  0.286  0.286  0.573
Cu  0.976  0.976  0.952
Ga  0.588  0.588  0.175